## CoF3 (PBE+U)

Data for a geometry-optimized CoF3 structure.

Results
**Total magnetic moment**: 0.5365 μB/atom
**Calculated volume**: 11.76 Å³/atom
**Fermi-level density of states**: 0.451 states/eV/atom
**VASP energy**: -16.37 eV for the cell shown
**SG**: Immm, No. 71
**Theoretical density**: 4.09 g/cm3

a b c (Å): 5.111 5.111 5.111
angles (deg): 149.90 135.02 55.08
Fractional coordinates of all 4 atoms:
Co  0.000  0.000  0.000
F  0.149  0.649  0.500
F  0.500  0.500  0.000
F  0.851  0.351  0.500